Entry 1:
Density functional theory data (GGA-PBE) for crystalline SrAcSc at its relaxed geometry.

As for the crystal system: tetragonal. Its total energy is -3.9776 eV per atom. As for the formation energy: 0.19 eV/f.u. The density of states at the Fermi level comes out at 1.167 states/eV per atom.

It has space group P4/nmm (No. 129, origin choice 2), with a = 4.0192 Å, b = 4.0192 Å, c = 14.9824 Å, α = 90.00°, β = 90.00° and γ = 90.00°. Symmetry generates all atoms from Sr at (0.2500, 0.2500, 0.1066), Ac at (0.2500, 0.2500, 0.6918) and Sc at (0.2500, 0.2500, 0.4525).


Entry 2:
Density functional theory data (GGA-PBE) for crystalline MgNbCr at its relaxed geometry.

As for the crystal system: triclinic. Its total energy is -6.8345 eV per atom. As for the formation energy: 0.78 eV/f.u. The density of states at the Fermi level comes out at 0.705 states/eV per atom.

It has space group P-1 (No. 2), with a = 2.9827 Å, b = 4.2730 Å, c = 8.2965 Å, α = 95.43°, β = 95.84° and γ = 91.78°. Symmetry generates all atoms from Mg at (0.1911, 0.2332, 0.4073), Nb at (0.4720, 0.3070, 0.8168) and Cr at (0.0396, 0.7981, 0.9232).


Entry 3:
Density functional theory data (GGA-PBE) for crystalline Ac8LaTl6 at its relaxed geometry.

As for the crystal system: trigonal. Its total energy is -3.6469 eV per atom. As for the formation energy: -2.71 eV/f.u. The density of states at the Fermi level comes out at 1.368 states/eV per atom.

It has space group R-3 (No. 148, hexagonal axes), with a = 9.8714 Å, b = 9.8714 Å, c = 21.0819 Å, α = 90.00°, β = 90.00° and γ = 120.00°. Symmetry generates all atoms from Ac at (0.0000, 0.0000, 0.1660), Ac at (0.0002, 0.3345, 0.3874), La at (0.0000, 0.0000, 0.5000) and Tl at (0.0005, 0.6730, 0.4434).